{"formula": "ZrTe2WO", "functional": "GGA+U", "state": "relaxed", "lattice": [[5.174, 0.000, 0.000], [0.000, 5.324, 0.000], [0.000, 0.000, 5.174]], "species": ["O", "Te", "Te", "Zr", "W"], "frac_coords": [[0.500, 0.500, 0.500], [0.000, 0.000, 0.500], [0.500, 0.000, 0.000], [0.000, 0.500, 0.000], [0.000, 0.000, 0.000]], "sg": "P4/mmm, No. 123", "de_polymorph_ev_per_atom": 1.436}